(1)
LiTa2Os | Alexandria | PBE | relaxed; formation enthalpy at 0 K = 55 kJ per mole of atoms; E = -8.641 eV per atom
1.0
-3.6209 3.6209 2.7533
3.6209 -3.6209 2.7533
3.6209 3.6209 -2.7533
Li Ta Os
2 4 2
Cartesian
0.0000 0.0000 0.0000 Li
0.0000 3.6209 1.3766 Li
1.8105 -1.5911 2.0650 Ta
2.0298 1.8105 0.6883 Ta
1.8105 5.2120 -0.6883 Ta
1.5911 1.8105 3.4416 Ta
3.6209 0.0000 1.3766 Os
0.0000 0.0000 2.7533 Os



(2)
Li2Ta2Os | Alexandria | PBE | relaxed; E above lowest polymorph = 350 meV per atom; formation enthalpy at 0 K = 75 kJ per mole of atoms; E = -6.970 eV per atom
1.0
6.9675 0.0000 0.0000
0.0000 6.9675 0.0000
0.0000 0.0000 3.1601
Li Ta Os
4 4 2
Cartesian
1.0718 2.4120 0.0000 Li
2.4120 5.8957 0.0000 Li
4.5555 1.0718 0.0000 Li
5.8957 4.5555 0.0000 Li
1.0426 4.5263 1.5801 Ta
2.4412 1.0426 1.5801 Ta
4.5263 5.9249 1.5801 Ta
5.9249 2.4412 1.5801 Ta
0.0000 0.0000 1.5801 Os
3.4838 3.4838 1.5801 Os



(3)
LiTaOs | Alexandria | PBE | relaxed; E above lowest polymorph = 259 meV per atom; formation enthalpy at 0 K = 23 kJ per mole of atoms; E = -8.089 eV per atom
1.0
0.0000 2.2840 7.0129
1.5017 0.0000 7.0129
1.5017 2.2840 0.0000
Li Ta Os
1 1 1
Cartesian
0.0000 0.0000 0.0000 Li
1.5017 2.2840 4.4323 Ta
1.5017 2.2840 9.2260 Os



(4)
LiTa2Os2 | Alexandria | PBE | relaxed; E above lowest polymorph = 0 meV per atom; formation enthalpy at 0 K = -4 kJ per mole of atoms; E = -9.661 eV per atom
1.0
7.6062 0.0000 0.0000
0.0000 7.6062 0.0000
0.0000 0.0000 3.0077
Li Ta Os
2 4 4
Cartesian
0.0000 0.0000 0.0000 Li
3.8031 3.8031 0.0000 Li
1.1512 2.6519 1.5039 Ta
2.6519 6.4550 1.5039 Ta
4.9543 1.1512 1.5039 Ta
6.4550 4.9543 1.5039 Ta
1.0926 4.8957 0.0000 Os
2.7105 1.0926 0.0000 Os
4.8957 6.5136 0.0000 Os
6.5136 2.7105 0.0000 Os



(5)
LiTbTaOs | Alexandria | PBE | relaxed; formation enthalpy at 0 K = -1 kJ per mole of atoms; E = -7.419 eV per atom
1.0
0.0000 3.3068 3.3068
3.3068 0.0000 3.3068
3.3068 3.3068 0.0000
Li Tb Ta Os
1 1 1 1
Cartesian
0.0000 0.0000 0.0000 Li
1.6534 1.6534 1.6534 Tb
4.9602 4.9602 4.9602 Ta
3.3068 3.3068 3.3068 Os



(6)
Li2TaTlOs | Alexandria | PBE | relaxed; formation enthalpy at 0 K = 75 kJ per mole of atoms; E = -5.073 eV per atom
1.0
4.7197 0.0000 0.0000
0.0000 4.7197 0.0000
0.0000 0.0000 4.7863
Li Ta Tl Os
2 1 1 1
Cartesian
0.0000 2.3598 0.0000 Li
2.3598 0.0000 0.0000 Li
0.0000 0.0000 2.3932 Ta
2.3598 2.3598 2.3932 Tl
0.0000 0.0000 0.0000 Os